This record from Alexandria describes crystalline MgTc2C at its relaxed geometry. The functional is PBE.

Output
* SG: I-42d (122)
* energy relative to the elements: 0.305 eV/atom
* density of states at the Fermi level: 4.63 states/eV/cell

The structure in CIF format:
```
data_MgTc2C
_symmetry_space_group_name_H-M 'P 1'
_symmetry_Int_Tables_number 1
_symmetry_space_group_name_Hall 'P 1'
_cell_length_a 5.363
_cell_length_b 5.363
_cell_length_c 5.363
_cell_angle_alpha 100.41
_cell_angle_beta 100.41
_cell_angle_gamma 129.68
loop_
_atom_site_label
_atom_site_type_symbol
_atom_site_fract_x
_atom_site_fract_y
_atom_site_fract_z
Mg1 Mg 0.000 0.000 0.000
Mg2 Mg 0.750 0.250 0.500
Tc1 Tc 0.225 0.625 0.100
Tc2 Tc 0.375 0.475 0.600
Tc3 Tc 0.525 0.125 0.900
Tc4 Tc 0.875 0.775 0.400
C1 C 0.250 0.750 0.500
C2 C 0.500 0.500 0.000
```

=====

This record from Alexandria describes crystalline Mg3TcC at its relaxed geometry. The functional is PBE.

Output
* SG: Pm-3m (221)
* energy relative to the elements: 0.700 eV/atom
* density of states at the Fermi level: 1.38 states/eV/cell

The structure in CIF format:
```
data_Mg3TcC
_symmetry_space_group_name_H-M 'P 1'
_symmetry_Int_Tables_number 1
_symmetry_space_group_name_Hall 'P 1'
_cell_length_a 4.363
_cell_length_b 4.363
_cell_length_c 4.363
_cell_angle_alpha 90.00
_cell_angle_beta 90.00
_cell_angle_gamma 90.00
loop_
_atom_site_label
_atom_site_type_symbol
_atom_site_fract_x
_atom_site_fract_y
_atom_site_fract_z
Mg1 Mg 0.000 0.000 0.500
Mg2 Mg 0.000 0.500 0.000
Mg3 Mg 0.500 0.000 0.000
Tc1 Tc 0.500 0.500 0.500
C1 C 0.000 0.000 0.000
```

=====

> The highest density of states at the Fermi level belongs to which entry?

MgTc2C

=====

> The lowest energy relative to the elements belongs to which entry?

MgTc2C

=====

> Number 2 is which compound?

Mg3TcC